The following is a GGA-PBEsol calculation of a relaxed structure of KLiBe2, from Alexandria.

Results
The calculated formation energy comes out at 4.16 eV per formula unit. As for the space group: P4/mmm. For the calculated volume, the calculation gives 78.8 Å³ per cell. The value obtained for the polymorph energy (0 for the lowest one) is 83.6 meV/atom. The value obtained for the spin magnetization is 0.000 μB/f.u. As for the density of states at the Fermi level: 1.68 states/eV/cell. Its total energy is -1.735 eV per atom.

a b c (Å): 5.4791 5.4791 2.6245
angles (deg): 90.00 90.00 90.00
Atoms (fractional coordinates):
K: 0.0000 0.0000 0.0000
Li: 0.5000 0.5000 0.0000
Be: 0.0000 0.5000 0.5000
Be: 0.5000 0.0000 0.5000


The following is a GGA-PBEsol calculation of a relaxed structure of SiTc3Br, from Alexandria.

Results
As for the space group: Pm-3m. For the calculated volume, the calculation gives 89.1 Å³ per cell. The value obtained for the spin magnetization is 1.391 μB/f.u. The calculation puts the formation energy (no corrections) at 1.7875 eV per atom. As for the density of states at the Fermi level: 5.72 states/eV/cell. Its total energy is -6.496 eV per atom.

a b c (Å): 4.4662 4.4662 4.4662
angles (deg): 90.00 90.00 90.00
Atoms (fractional coordinates):
Si: 0.0000 0.0000 0.0000
Tc: 0.0000 0.5000 0.5000
Tc: 0.5000 0.0000 0.5000
Tc: 0.5000 0.5000 0.0000
Br: 0.5000 0.5000 0.5000


The following is a GGA-PBEsol calculation of a relaxed structure of Fe2SO, from Alexandria.

Results
As for the space group: I-42d. For the calculated volume, the calculation gives 93.5 Å³ per cell. The value obtained for the spin magnetization is 0.005 μB/f.u. The calculation puts the formation energy (no corrections) at -0.5778 eV per atom. As for the density of states at the Fermi level: 7.13 states/eV/cell. Its total energy is -7.468 eV per atom.

a b c (Å): 5.6501 5.6501 5.6501
angles (deg): 133.41 133.41 68.01
Atoms (fractional coordinates):
Fe: 0.0689 0.6250 0.9439
Fe: 0.3750 0.3189 0.4439
Fe: 0.6811 0.1250 0.0561
Fe: 0.8750 0.9311 0.5561
S: 0.2500 0.7500 0.5000
S: 0.5000 0.5000 0.0000
O: 0.0000 0.0000 0.0000
O: 0.7500 0.2500 0.5000